# 1
An optimized crystal structure of Nd2Se3. Source: the Alexandria database, functional PBE-GGA.

abc: 8.9425 8.9425 8.9425
angles: 155.01 155.01 35.64
Element x y z (fractional)
Nd 0.1220 0.1220 0.0000
Nd 0.8780 0.8780 0.0000
Se 0.3059 0.3059 0.0000
Se 0.5000 0.5000 0.0000
Se 0.6941 0.6941 0.0000

Values from the calculation:
Uncorrected formation energy in eV per formula unit: -8.23

# 2
An optimized crystal structure of PrTmZn4. Source: the Alexandria database, functional PBE-GGA.

abc: 5.7720 5.7720 5.7720
angles: 134.30 102.09 95.29
Element x y z (fractional)
Pr 0.0000 0.0000 0.0000
Tm 0.5000 0.0000 0.5000
Zn 0.0955 0.3341 0.7614
Zn 0.4272 0.6659 0.7614
Zn 0.5728 0.3341 0.2386
Zn 0.9045 0.6659 0.2386

Values from the calculation:
Polymorph energy (0 for the lowest one) in eV per atom: 0.0000
ΔH_f (0 K) in eV per atom: -0.34

# 3
An optimized crystal structure of MnTe2Au. Source: the Alexandria database, functional PBE-GGA.

abc: 12.0001 12.0001 5.2460
angles: 90.00 90.00 164.67
Element x y z (fractional)
Mn 0.0690 0.9310 0.7500
Mn 0.9310 0.0690 0.2500
Te 0.0476 0.9524 0.2500
Te 0.1827 0.8173 0.7500
Te 0.8173 0.1827 0.2500
Te 0.9524 0.0476 0.7500
Au 0.3123 0.6877 0.7500
Au 0.6877 0.3123 0.2500

Values from the calculation:
Uncorrected formation energy in eV per formula unit: 0.72
Polymorph energy (0 for the lowest one) in eV per atom: 0.2693

# 4
An optimized crystal structure of Li2RuO4. Source: the Alexandria database, functional PBE-GGA.

abc: 6.0452 6.0452 8.3720
angles: 90.00 90.00 90.00
Element x y z (fractional)
Li 0.0000 0.2389 0.0000
Li 0.0000 0.7611 0.5000
Li 0.2389 0.0000 0.7500
Li 0.2585 0.2585 0.3750
Li 0.2585 0.7415 0.1250
Li 0.7415 0.2585 0.6250
Li 0.7415 0.7415 0.8750
Li 0.7611 0.0000 0.2500
Ru 0.2259 0.5000 0.7500
Ru 0.5000 0.2259 0.0000
Ru 0.5000 0.7741 0.5000
Ru 0.7741 0.5000 0.2500
O 0.0304 0.2693 0.7393
O 0.0304 0.7307 0.7607
O 0.2693 0.0304 0.0107
O 0.2693 0.9696 0.4893
O 0.2725 0.4828 0.9787
O 0.2725 0.5172 0.5213
O 0.4828 0.2725 0.7713
O 0.4828 0.7275 0.7287
O 0.5172 0.2725 0.2287
O 0.5172 0.7275 0.2713
O 0.7275 0.4828 0.0213
O 0.7275 0.5172 0.4787
O 0.7307 0.0304 0.9893
O 0.7307 0.9696 0.5107
O 0.9696 0.2693 0.2607
O 0.9696 0.7307 0.2393

Values from the calculation:
Uncorrected formation energy in eV per formula unit: -9.50
Polymorph energy (0 for the lowest one) in eV per atom: 0.0000

# 5
An optimized crystal structure of LiCd2Ge. Source: the Alexandria database, functional PBE-GGA.

abc: 4.3143 4.3143 4.1833
angles: 90.00 90.00 90.00
Element x y z (fractional)
Li 0.0000 0.0000 0.0000
Cd 0.0000 0.5000 0.5000
Cd 0.5000 0.0000 0.5000
Ge 0.5000 0.5000 0.0000

Values from the calculation:
ΔH_f (0 K) in eV per atom: -0.10

# 6
An optimized crystal structure of CuHPd3. Source: the Alexandria database, functional PBE-GGA.

abc: 3.8468 3.8468 6.0163
angles: 90.00 90.00 90.00
Element x y z (fractional)
Cu 0.0000 0.0000 0.0000
H 0.5000 0.5000 0.2778
Pd 0.0000 0.0000 0.5984
Pd 0.0000 0.5000 0.2818
Pd 0.5000 0.0000 0.2818

Values from the calculation:
Polymorph energy (0 for the lowest one) in eV per atom: 0.5511

Number 1: spin magnetization 0.0 μB/cell, V 127 Å³ per cell, energy -28.2 eV for the cell shown. Number 2: spin magnetization 0.0 μB/cell, V 127 Å³ per cell, energy -16.4 eV for the cell shown. Number 3: spin magnetization 7.8 μB/cell, V 200 Å³ per cell, energy -36.0 eV for the cell shown. Number 4: spin magnetization 8.1 μB/cell, V 306 Å³ per cell, energy -169.7 eV for the cell shown. Number 5: spin magnetization 0.0 μB/cell, V 78 Å³ per cell, energy -8.8 eV for the cell shown. Number 6: spin magnetization 0.0 μB/cell, V 89 Å³ per cell, energy -20.7 eV for the cell shown.